A plane-wave DFT calculation with PBE with a Hubbard U was carried out for crystalline MoPbI2O at its relaxed geometry.

a = 6.097 Å, b = 6.097 Å, c = 3.943 Å
α = 90.00°, β = 90.00°, γ = 90.00°
Element x y z (fractional)
I1 0.000 0.500 0.000
I2 0.500 0.000 0.000
O1 0.000 0.000 0.500
Pb1 0.500 0.500 0.500
Mo1 0.000 0.000 0.000

Output
symmetry	No. 123
energy	-0.305	Ry per atom
ΔE to the lowest computed polymorph	0.000	eV/atom